No. 1
A plane-wave DFT calculation with PBE was carried out for a relaxed RbVAsBr2 crystal.

extended XYZ file:
```
5
Lattice="6.374 0.000 0.000 0.000 6.374 0.000 0.000 0.000 6.315" Properties=species:S:1:pos:R:3 pbc="T T T"
Rb 0.000 0.000 0.000
V 3.187 3.187 3.158
As 0.000 0.000 3.158
Br 0.000 3.187 0.000
Br 3.187 0.000 0.000
```

Summary:
As for the uncorrected formation energy: 859 meV/atom. The raw total energy is -13.78 eV per cell. The calculation puts the energy above the lowest structure with this stoichiometry at 1504.6 meV/atom. Its density of states at the Fermi level is 6.3 states/eV per cell.

No. 2
A plane-wave DFT calculation with PBE was carried out for a relaxed RbVAsBr2 crystal.

extended XYZ file:
```
5
Lattice="5.459 0.000 0.000 0.000 5.459 0.000 0.000 0.000 4.826" Properties=species:S:1:pos:R:3 pbc="T T T"
Rb 0.000 0.000 0.000
V 2.730 2.730 2.413
As 2.730 2.730 0.000
Br 0.000 2.730 2.413
Br 2.730 0.000 2.413
```

Summary:
As for the uncorrected formation energy: -645 meV/atom. The raw total energy is -21.31 eV per cell. The calculation puts the energy above the lowest structure with this stoichiometry at 0.0 meV/atom. Its density of states at the Fermi level is 2.0 states/eV per cell.